[1]
A geometry-optimized RbSiH2Cl8 structure. Source: Alexandria, functional PBE-GGA.

raw total energy	-3.20	eV per atom
calculated volume	27.87	A^3/atom
total magnetic moment	1.16	μB/f.u.

Structure (CIF):
```
data_RbSiH2Cl8
_chemical_formula_sum 'Rb1 Si1 H2 Cl8'
_symmetry_space_group_name_H-M 'P -1'
_symmetry_Int_Tables_number 2
_cell_length_a 6.475
_cell_length_b 6.960
_cell_length_c 7.834
_cell_angle_alpha 73.32
_cell_angle_beta 81.88
_cell_angle_gamma 85.02
loop_
_symmetry_equiv_pos_as_xyz
'x,y,z'
'-x,-y,-z'
loop_
_atom_site_label
_atom_site_type_symbol
_atom_site_fract_x
_atom_site_fract_y
_atom_site_fract_z
Rb1 Rb 0.000 0.000 0.000
Si1 Si 0.000 0.500 0.500
H1 H 0.366 0.207 0.275
Cl1 Cl 0.087 0.531 0.752
Cl2 Cl 0.194 0.210 0.539
Cl3 Cl 0.271 0.667 0.350
Cl4 Cl 0.445 0.199 0.114
```


[2]
A geometry-optimized Rb2SmHCl6 structure. Source: Alexandria, functional PBE-GGA.

raw total energy	-3.86	eV per atom
calculated volume	30.12	A^3/atom
total magnetic moment	0.00	μB/f.u.

Structure (CIF):
```
data_Rb2SmHCl6
_chemical_formula_sum 'Rb4 Sm2 H2 Cl12'
_symmetry_space_group_name_H-M 'C 1 2/m 1'
_symmetry_Int_Tables_number 12
_cell_length_a 11.797
_cell_length_b 8.655
_cell_length_c 8.331
_cell_angle_alpha 90.00
_cell_angle_beta 134.92
_cell_angle_gamma 90.00
loop_
_symmetry_equiv_pos_as_xyz
'x,y,z'
'-x,-y,-z'
'-x,y,-z'
'x,-y,z'
'x+1/2,y+1/2,z'
'-x+1/2,-y+1/2,-z'
'-x+1/2,y+1/2,-z'
'x+1/2,-y+1/2,z'
loop_
_atom_site_label
_atom_site_type_symbol
_atom_site_fract_x
_atom_site_fract_y
_atom_site_fract_z
Rb1 Rb 0.000 0.250 0.000
Sm1 Sm 0.000 0.000 0.500
H1 H 0.000 0.500 0.500
Cl1 Cl 0.000 0.320 0.500
Cl2 Cl 0.225 0.000 0.498
Cl3 Cl 0.226 0.000 0.952
```


[3]
A geometry-optimized RbSnH2Cl8 structure. Source: Alexandria, functional PBE-GGA.

raw total energy	-3.06	eV per atom
calculated volume	33.13	A^3/atom
total magnetic moment	0.98	μB/f.u.

Structure (CIF):
```
data_RbSnH2Cl8
_chemical_formula_sum 'Rb1 Sn1 H2 Cl8'
_symmetry_space_group_name_H-M 'P -1'
_symmetry_Int_Tables_number 2
_cell_length_a 6.440
_cell_length_b 8.471
_cell_length_c 8.763
_cell_angle_alpha 100.63
_cell_angle_beta 108.65
_cell_angle_gamma 111.10
loop_
_symmetry_equiv_pos_as_xyz
'x,y,z'
'-x,-y,-z'
loop_
_atom_site_label
_atom_site_type_symbol
_atom_site_fract_x
_atom_site_fract_y
_atom_site_fract_z
Rb1 Rb 0.000 0.000 0.000
Sn1 Sn 0.500 0.500 0.500
H1 H 0.435 0.715 0.157
Cl1 Cl 0.207 0.631 0.518
Cl2 Cl 0.214 0.191 0.432
Cl3 Cl 0.358 0.458 0.191
Cl4 Cl 0.485 0.870 0.130
```


[4]
A geometry-optimized RbSrHCl2 structure. Source: Alexandria, functional PBE-GGA.

raw total energy	-3.56	eV per atom
calculated volume	31.25	A^3/atom
total magnetic moment	0.00	μB/f.u.

Structure (CIF):
```
data_RbSrHCl2
_chemical_formula_sum 'Rb1 Sr1 H1 Cl2'
_symmetry_space_group_name_H-M 'P 4/m m m'
_symmetry_Int_Tables_number 123
_symmetry_space_group_name_Hall '-P 4 2'
_cell_length_a 5.768
_cell_length_b 5.768
_cell_length_c 4.697
_cell_angle_alpha 90.00
_cell_angle_beta 90.00
_cell_angle_gamma 90.00
loop_
_atom_site_label
_atom_site_type_symbol
_atom_site_fract_x
_atom_site_fract_y
_atom_site_fract_z
Rb1 Rb 0.000 0.000 0.000
Sr1 Sr 0.500 0.500 0.500
H1 H 0.500 0.500 0.000
Cl1 Cl 0.000 0.500 0.500
```


[5]
A geometry-optimized RbSrH2Cl structure. Source: Alexandria, functional PBE-GGA.

raw total energy	-3.22	eV per atom
calculated volume	26.96	A^3/atom
total magnetic moment	0.00	μB/f.u.

Structure (CIF):
```
data_RbSrH2Cl
_chemical_formula_sum 'Rb1 Sr1 H2 Cl1'
_symmetry_space_group_name_H-M 'P 4/m m m'
_symmetry_Int_Tables_number 123
_symmetry_space_group_name_Hall '-P 4 2'
_cell_length_a 4.812
_cell_length_b 4.812
_cell_length_c 5.821
_cell_angle_alpha 90.00
_cell_angle_beta 90.00
_cell_angle_gamma 90.00
loop_
_atom_site_label
_atom_site_type_symbol
_atom_site_fract_x
_atom_site_fract_y
_atom_site_fract_z
Rb1 Rb 0.000 0.000 0.000
Sr1 Sr 0.500 0.500 0.500
H1 H 0.000 0.500 0.500
Cl1 Cl 0.500 0.500 0.000
```


[6]
A geometry-optimized RbTaH2Cl8 structure. Source: Alexandria, functional PBE-GGA.

raw total energy	-4.06	eV per atom
calculated volume	31.30	A^3/atom
total magnetic moment	0.00	μB/f.u.

Structure (CIF):
```
data_RbTaH2Cl8
_chemical_formula_sum 'Rb1 Ta1 H2 Cl8'
_symmetry_space_group_name_H-M 'P -1'
_symmetry_Int_Tables_number 2
_cell_length_a 6.707
_cell_length_b 7.118
_cell_length_c 8.687
_cell_angle_alpha 70.57
_cell_angle_beta 77.68
_cell_angle_gamma 76.08
loop_
_symmetry_equiv_pos_as_xyz
'x,y,z'
'-x,-y,-z'
loop_
_atom_site_label
_atom_site_type_symbol
_atom_site_fract_x
_atom_site_fract_y
_atom_site_fract_z
Rb1 Rb 0.000 0.000 0.000
Ta1 Ta 0.000 0.500 0.500
H1 H 0.422 0.244 0.223
Cl1 Cl 0.055 0.488 0.764
Cl2 Cl 0.144 0.799 0.382
Cl3 Cl 0.336 0.299 0.464
Cl4 Cl 0.473 0.206 0.081
```


[7]
A geometry-optimized Rb2TbHCl6 structure. Source: Alexandria, functional PBE-GGA.

raw total energy	-3.86	eV per atom
calculated volume	29.41	A^3/atom
total magnetic moment	0.00	μB/f.u.

Structure (CIF):
```
data_Rb2TbHCl6
_chemical_formula_sum 'Rb2 Tb1 H1 Cl6'
_symmetry_space_group_name_H-M 'P -1'
_symmetry_Int_Tables_number 2
_cell_length_a 7.255
_cell_length_b 7.259
_cell_length_c 7.259
_cell_angle_alpha 107.54
_cell_angle_beta 110.50
_cell_angle_gamma 110.38
loop_
_symmetry_equiv_pos_as_xyz
'x,y,z'
'-x,-y,-z'
loop_
_atom_site_label
_atom_site_type_symbol
_atom_site_fract_x
_atom_site_fract_y
_atom_site_fract_z
Rb1 Rb 0.000 0.250 0.250
Tb1 Tb 0.500 0.000 0.500
H1 H 0.500 0.500 0.000
Cl1 Cl 0.053 0.777 0.277
Cl2 Cl 0.499 0.223 0.276
Cl3 Cl 0.499 0.681 0.181
```


[8]
A geometry-optimized RbTeH2Cl structure. Source: Alexandria, functional PBE-GGA.

raw total energy	-2.86	eV per atom
calculated volume	26.06	A^3/atom
total magnetic moment	0.00	μB/f.u.

Structure (CIF):
```
data_RbTeH2Cl
_chemical_formula_sum 'Rb1 Te1 H2 Cl1'
_symmetry_space_group_name_H-M 'P 4/m m m'
_symmetry_Int_Tables_number 123
_symmetry_space_group_name_Hall '-P 4 2'
_cell_length_a 4.249
_cell_length_b 4.249
_cell_length_c 7.217
_cell_angle_alpha 90.00
_cell_angle_beta 90.00
_cell_angle_gamma 90.00
loop_
_atom_site_label
_atom_site_type_symbol
_atom_site_fract_x
_atom_site_fract_y
_atom_site_fract_z
Rb1 Rb 0.000 0.000 0.000
Te1 Te 0.500 0.500 0.500
H1 H 0.000 0.500 0.500
Cl1 Cl 0.500 0.500 0.000
```


[9]
A geometry-optimized Rb2TiHCl6 structure. Source: Alexandria, functional PBE-GGA.

raw total energy	-3.87	eV per atom
calculated volume	28.45	A^3/atom
total magnetic moment	1.00	μB/f.u.

Structure (CIF):
```
data_Rb2TiHCl6
_chemical_formula_sum 'Rb4 Ti2 H2 Cl12'
_symmetry_space_group_name_H-M 'I 4/m m m'
_symmetry_Int_Tables_number 139
_symmetry_space_group_name_Hall '-I 4 2'
_cell_length_a 7.911
_cell_length_b 7.911
_cell_length_c 9.094
_cell_angle_alpha 90.00
_cell_angle_beta 90.00
_cell_angle_gamma 90.00
loop_
_atom_site_label
_atom_site_type_symbol
_atom_site_fract_x
_atom_site_fract_y
_atom_site_fract_z
Rb1 Rb 0.000 0.500 0.250
Ti1 Ti 0.000 0.000 0.000
H1 H 0.000 0.000 0.500
Cl1 Cl 0.000 0.000 0.324
Cl2 Cl 0.211 0.211 0.000
```


[10]
A geometry-optimized RbTlHCl structure. Source: Alexandria, functional PBE-GGA.

raw total energy	-2.70	eV per atom
calculated volume	27.11	A^3/atom
total magnetic moment	0.00	μB/f.u.

Structure (CIF):
```
data_RbTlHCl
_chemical_formula_sum 'Rb4 Tl4 H4 Cl4'
_symmetry_space_group_name_H-M 'F -4 3 m'
_symmetry_Int_Tables_number 216
_symmetry_space_group_name_Hall 'F -4 2 3'
_cell_length_a 7.570
_cell_length_b 7.570
_cell_length_c 7.570
_cell_angle_alpha 90.00
_cell_angle_beta 90.00
_cell_angle_gamma 90.00
loop_
_atom_site_label
_atom_site_type_symbol
_atom_site_fract_x
_atom_site_fract_y
_atom_site_fract_z
Rb1 Rb 0.000 0.000 0.000
Tl1 Tl 0.000 0.000 0.500
H1 H 0.250 0.250 0.750
Cl1 Cl 0.250 0.250 0.250
```


[11]
A geometry-optimized RbTl2HCl4 structure. Source: Alexandria, functional PBE-GGA.

raw total energy	-3.16	eV per atom
calculated volume	35.14	A^3/atom
total magnetic moment	0.00	μB/f.u.

Structure (CIF):
```
data_RbTl2HCl4
_chemical_formula_sum 'Rb4 Tl8 H4 Cl16'
_symmetry_space_group_name_H-M 'F m m 2'
_symmetry_Int_Tables_number 42
_symmetry_space_group_name_Hall 'F 2 -2'
_cell_length_a 8.764
_cell_length_b 13.828
_cell_length_c 9.280
_cell_angle_alpha 90.00
_cell_angle_beta 90.00
_cell_angle_gamma 90.00
loop_
_atom_site_label
_atom_site_type_symbol
_atom_site_fract_x
_atom_site_fract_y
_atom_site_fract_z
Rb1 Rb 0.000 0.000 0.000
Tl1 Tl 0.250 0.250 0.274
H1 H 0.000 0.000 0.331
Cl1 Cl 0.000 0.232 0.016
Cl2 Cl 0.178 0.000 0.317
```


[12]
A geometry-optimized Rb2TlH2Cl4 structure. Source: Alexandria, functional PBE-GGA.

raw total energy	-2.89	eV per atom
calculated volume	28.21	A^3/atom
total magnetic moment	0.00	μB/f.u.

Structure (CIF):
```
data_Rb2TlH2Cl4
_chemical_formula_sum 'Rb4 Tl2 H4 Cl8'
_symmetry_space_group_name_H-M 'I 4/m m m'
_symmetry_Int_Tables_number 139
_symmetry_space_group_name_Hall '-I 4 2'
_cell_length_a 7.688
_cell_length_b 7.688
_cell_length_c 8.591
_cell_angle_alpha 90.00
_cell_angle_beta 90.00
_cell_angle_gamma 90.00
loop_
_atom_site_label
_atom_site_type_symbol
_atom_site_fract_x
_atom_site_fract_y
_atom_site_fract_z
Rb1 Rb 0.000 0.500 0.250
Tl1 Tl 0.000 0.000 0.000
H1 H 0.000 0.000 0.198
Cl1 Cl 0.246 0.246 0.500
```


> Which of these has the lowest raw total energy?

RbTaH2Cl8


> Number 3 is which compound?

RbSnH2Cl8